[1]
An optimized crystal structure of GeP2SO, computed with PBE.

Properties
For the formation energy from raw total energies, the calculation gives 2.37 eV per formula unit. The density of states at the Fermi level comes out at 3.84 states/eV/f.u. The total DFT energy (no corrections) is -4.430 eV per atom. For the mass density, the calculation gives 3.351 g/cm3. The calculation puts the relative energy among the computed polymorphs at 0.4 kJ per mole of atoms.

Cell: 3.8033 3.8033 6.2570 Å, 90.00 90.00 90.00°
Last column: nearest neighbours and their distance in Å.
Positions (direct):
P  0.5000  0.0000  0.0000  2 O 1.90
P  0.0000  0.5000  0.0000  2 O 1.90
Ge  0.5000  0.5000  0.5000  4 S 2.69
S  0.0000  0.0000  0.5000  4 Ge 2.69
O  0.0000  0.0000  0.0000  4 P 1.90


[2]
An optimized crystal structure of GeP2SO, computed with PBE.

Properties
For the formation energy from raw total energies, the calculation gives 2.35 eV per formula unit. The density of states at the Fermi level comes out at 3.31 states/eV/f.u. The total DFT energy (no corrections) is -4.434 eV per atom. For the mass density, the calculation gives 3.988 g/cm3. The calculation puts the relative energy among the computed polymorphs at 0.0 kJ per mole of atoms.

Cell: 4.6625 4.6625 3.4986 Å, 90.00 90.00 90.00°
Last column: nearest neighbours and their distance in Å.
Positions (direct):
P  0.0000  0.5000  0.0000  2 S 2.33
P  0.5000  0.0000  0.0000  2 S 2.33
S  0.0000  0.0000  0.0000  2 O 1.75
O  0.0000  0.0000  0.5000  2 S 1.75
Ge  0.5000  0.5000  0.5000  8 P 2.91


[3]
An optimized crystal structure of GeP2SO, computed with PBE.

Properties
For the formation energy from raw total energies, the calculation gives 7.10 eV per formula unit. The density of states at the Fermi level comes out at 6.54 states/eV/f.u. The total DFT energy (no corrections) is -3.485 eV per atom. For the mass density, the calculation gives 3.009 g/cm3. The calculation puts the relative energy among the computed polymorphs at 91.5 kJ per mole of atoms.

Cell: 4.7252 4.7252 4.5146 Å, 90.00 90.00 90.00°
Last column: nearest neighbours and their distance in Å.
Positions (direct):
S  0.0000  0.0000  0.5000  2 Ge 2.26
P  0.5000  0.0000  0.0000  2 Ge 2.36
P  0.0000  0.5000  0.0000  2 Ge 2.36
O  0.5000  0.5000  0.5000  8 P 3.27, 4 S 3.34
Ge  0.0000  0.0000  0.0000  2 S 2.26, 4 P 2.36


[4]
An optimized crystal structure of GeSbPO2, computed with PBE.

Properties
For the formation energy from raw total energies, the calculation gives -1.57 eV per formula unit. The density of states at the Fermi level comes out at 1.84 states/eV/f.u. The total DFT energy (no corrections) is -5.128 eV per atom. For the mass density, the calculation gives 5.191 g/cm3. The calculation puts the relative energy among the computed polymorphs at 8.2 kJ per mole of atoms.

Cell: 3.9674 3.9674 5.2308 Å, 90.00 90.00 90.00°
Last column: nearest neighbours and their distance in Å.
Positions (direct):
P  0.0000  0.0000  0.5000  2 Sb 2.62, 4 Ge 2.81
O  0.5000  0.0000  0.0000  2 Sb 1.98
O  0.0000  0.5000  0.0000  2 Sb 1.98
Sb  0.0000  0.0000  0.0000  4 O 1.98
Ge  0.5000  0.5000  0.5000  4 P 2.81


[5]
An optimized crystal structure of GeSbP2O, computed with PBE.

Properties
For the formation energy from raw total energies, the calculation gives 0.68 eV per formula unit. The density of states at the Fermi level comes out at 2.67 states/eV/f.u. The total DFT energy (no corrections) is -4.768 eV per atom. For the mass density, the calculation gives 5.157 g/cm3. The calculation puts the relative energy among the computed polymorphs at 0.0 kJ per mole of atoms.

Cell: 4.8993 4.8993 3.6538 Å, 90.00 90.00 90.00°
Last column: nearest neighbours and their distance in Å.
Positions (direct):
P  0.5000  0.0000  0.0000  2 Ge 2.45
P  0.0000  0.5000  0.0000  2 Ge 2.45
Sb  0.5000  0.5000  0.5000  8 P 3.06
Ge  0.0000  0.0000  0.0000  2 O 1.83
O  0.0000  0.0000  0.5000  2 Ge 1.83


[6]
An optimized crystal structure of GeSbPO2, computed with PBE.

Properties
For the formation energy from raw total energies, the calculation gives -2.00 eV per formula unit. The density of states at the Fermi level comes out at 0.42 states/eV/f.u. The total DFT energy (no corrections) is -5.212 eV per atom. For the mass density, the calculation gives 5.911 g/cm3. The calculation puts the relative energy among the computed polymorphs at 0.0 kJ per mole of atoms.

Cell: 3.8589 3.8589 4.8557 Å, 90.00 90.00 90.00°
Last column: nearest neighbours and their distance in Å.
Positions (direct):
O  0.0000  0.5000  0.0000  2 Ge 1.93
O  0.5000  0.0000  0.0000  2 Ge 1.93
P  0.0000  0.0000  0.5000  2 Ge 2.43
Ge  0.0000  0.0000  0.0000  4 O 1.93
Sb  0.5000  0.5000  0.5000  4 P 2.73


[7]
An optimized crystal structure of GeSbP2O, computed with PBE.

Properties
For the formation energy from raw total energies, the calculation gives 2.22 eV per formula unit. The density of states at the Fermi level comes out at 2.96 states/eV/f.u. The total DFT energy (no corrections) is -4.460 eV per atom. For the mass density, the calculation gives 4.444 g/cm3. The calculation puts the relative energy among the computed polymorphs at 29.7 kJ per mole of atoms.

Cell: 5.1050 5.1050 3.9049 Å, 90.00 90.00 90.00°
Last column: nearest neighbours and their distance in Å.
Positions (direct):
Sb  0.0000  0.0000  0.0000  2 O 1.95
P  0.5000  0.0000  0.0000  2 Sb 2.55
P  0.0000  0.5000  0.0000  2 Sb 2.55
O  0.0000  0.0000  0.5000  2 Sb 1.95
Ge  0.5000  0.5000  0.5000  8 P 3.21


[8]
An optimized crystal structure of ScGeP2O, computed with PBE.

Properties
For the formation energy from raw total energies, the calculation gives -1.26 eV per formula unit. The density of states at the Fermi level comes out at 3.14 states/eV/f.u. The total DFT energy (no corrections) is -5.598 eV per atom. For the mass density, the calculation gives 3.798 g/cm3. The calculation puts the relative energy among the computed polymorphs at 0.0 kJ per mole of atoms.

Cell: 4.8624 4.8624 3.6163 Å, 90.00 90.00 90.00°
Last column: nearest neighbours and their distance in Å.
Positions (direct):
P  0.5000  0.0000  0.0000  2 Ge 2.43
P  0.0000  0.5000  0.0000  2 Ge 2.43
Ge  0.0000  0.0000  0.0000  2 O 1.81
Sc  0.5000  0.5000  0.5000  8 P 3.03
O  0.0000  0.0000  0.5000  2 Ge 1.81